Here is a relaxed structure of Co2CuCl from Alexandria via LeMat-Bulk. Energies are from PBE.

Cell lengths 3.5316, 3.5316, 4.3686 Å; angles 90.00, 90.00, 90.00 degrees
Sites, in units of the cell vectors:
Co (0.0000, 0.5000, 0.0000)
Co (0.5000, 0.0000, 0.0000)
Cu (0.0000, 0.0000, 0.5000)
Cl (0.5000, 0.5000, 0.5000)

Calculated values
* uncorrected formation energy: 0.7009 eV per atom
* distance to the lowest polymorph of the same formula: 493.1 meV/atom
* symmetry: No. 123